# 1
Here is a geometry-optimized YMn2Os structure from Alexandria via LeMat-Bulk. Energies are from PBE.

Results
electronic total energy	-34.6	eV/f.u.
crystal system	tetragonal
total magnetization	6.46	Bohr magnetons per cell
E above lowest polymorph	21.14	kJ per mole of atoms

Cell: 4.4514 4.4514 3.3417 Å, 90.00 90.00 90.00°
Last column: nearest neighbours and their distance in Å.
Atoms (fractional coordinates):
Mn: 0.5000 0.5000 0.0000  4 Y 2.78, 4 Os 2.78
Mn: 0.0000 0.0000 0.0000  4 Os 2.78, 4 Y 2.78
Y: 0.0000 0.5000 0.5000  8 Mn 2.78
Os: 0.5000 0.0000 0.5000  8 Mn 2.78

# 2
Here is a geometry-optimized MgSi2SnOs structure from Alexandria via LeMat-Bulk. Energies are from PBE.

Results
electronic total energy	-18.6	eV/f.u.
crystal system	tetragonal
formation energy from raw total energies	1.816	eV/atom
total magnetization	1.96	Bohr magnetons per cell

Cell: 4.6865 4.6865 5.1882 Å, 90.00 90.00 90.00°
Last column: nearest neighbours and their distance in Å.
Atoms (fractional coordinates):
Si: 0.0000 0.5000 0.0000  2 Mg 2.34
Si: 0.5000 0.0000 0.0000  2 Mg 2.34
Sn: 0.0000 0.0000 0.5000  2 Mg 2.59
Os: 0.5000 0.5000 0.5000  4 Sn 3.31, 8 Si 3.50
Mg: 0.0000 0.0000 0.0000  4 Si 2.34, 2 Sn 2.59

# 3
Here is a geometry-optimized Hg2PbCl6 structure from Alexandria via LeMat-Bulk. Energies are from PBE.

Results
electronic total energy	-22.3	eV/f.u.
crystal system	monoclinic
formation energy from raw total energies	-0.769	eV/atom
total magnetization	0.00	Bohr magnetons per cell
E above lowest polymorph	0.00	kJ per mole of atoms

Cell: 7.1749 9.5975 9.5975 Å, 88.99 75.81 75.81°
Last column: nearest neighbours and their distance in Å.
Atoms (fractional coordinates):
Cl: 0.0400 0.4573 0.3018  1 Hg 2.34
Cl: 0.1641 0.8203 0.9337  2 Pb 2.77-2.90, 1 Hg 3.07
Cl: 0.1416 0.0814 0.6105  1 Hg 2.33
Cl: 0.3359 0.0663 0.1797  2 Pb 2.77-2.90, 1 Hg 3.07
Cl: 0.4600 0.6982 0.5427  1 Hg 2.34
Cl: 0.8359 0.1797 0.0663  2 Pb 2.77-2.90, 1 Hg 3.07
Cl: 0.5400 0.3018 0.4573  1 Hg 2.34
Cl: 0.6641 0.9337 0.8203  2 Pb 2.77-2.90, 1 Hg 3.07
Cl: 0.6416 0.6105 0.0814  1 Hg 2.33
Cl: 0.8584 0.9186 0.3895  1 Hg 2.33
Cl: 0.9600 0.5427 0.6982  1 Hg 2.34
Cl: 0.3584 0.3895 0.9186  1 Hg 2.33
Hg: 0.3865 0.5520 0.7366  2 Cl 2.33-2.34
Hg: 0.1135 0.2634 0.4480  2 Cl 2.33-2.34
Hg: 0.8865 0.7366 0.5520  2 Cl 2.33-2.34
Hg: 0.6135 0.4480 0.2634  2 Cl 2.33-2.34
Pb: 0.2500 0.0867 0.9133  4 Cl 2.77-2.90
Pb: 0.7500 0.9133 0.0867  4 Cl 2.77-2.90

# 4
Here is a geometry-optimized ScBeAg3 structure from Alexandria via LeMat-Bulk. Energies are from PBE.

Results
electronic total energy	-18.1	eV/f.u.
crystal system	cubic
total magnetization	0.00	Bohr magnetons per cell
E above lowest polymorph	0.00	kJ per mole of atoms

Cell: 4.4789 4.4789 4.4789 Å, 90.00 90.00 90.00°
Last column: nearest neighbours and their distance in Å.
Atoms (fractional coordinates):
Sc: 0.5000 0.5000 0.5000  12 Ag 3.17
Ag: 0.0000 0.0000 0.5000  2 Be 2.24
Ag: 0.0000 0.5000 0.0000  2 Be 2.24
Ag: 0.5000 0.0000 0.0000  2 Be 2.24
Be: 0.0000 0.0000 0.0000  6 Ag 2.24

# 5
Here is a geometry-optimized LuZr2As structure from Alexandria via LeMat-Bulk. Energies are from PBE.

Results
electronic total energy	-26.8	eV/f.u.
crystal system	trigonal
total magnetization	0.01	Bohr magnetons per cell

Cell: 3.5949 3.5949 9.5186 Å, 79.12 79.12 60.00°
Last column: nearest neighbours and their distance in Å.
Atoms (fractional coordinates):
Zr: 0.8911 0.8911 0.3266  3 As 2.63
Zr: 0.1089 0.1089 0.6734  3 As 2.63
Lu: 0.0000 0.0000 0.0000  2 Zr 3.03
As: 0.5000 0.5000 0.5000  6 Zr 2.63

# 6
Here is a geometry-optimized InAgW2 structure from Alexandria via LeMat-Bulk. Energies are from PBE.

Results
electronic total energy	-26.2	eV/f.u.
crystal system	tetragonal
total magnetization	0.00	Bohr magnetons per cell

Cell: 7.5379 7.5379 5.9761 Å, 50.90 50.90 90.00°
Last column: nearest neighbours and their distance in Å.
Atoms (fractional coordinates):
In: 0.7500 0.2500 0.5000  2 Ag 2.70, 4 W 2.78
In: 0.0000 0.0000 0.0000  2 Ag 2.70, 4 W 2.78
Ag: 0.5000 0.5000 0.0000  2 In 2.70, 4 W 2.71
Ag: 0.2500 0.7500 0.5000  2 In 2.70, 4 W 2.71
W: 0.6183 0.1250 0.2500  2 W 2.70, 2 Ag 2.71, 2 In 2.78
W: 0.3750 0.3817 0.7500  2 W 2.70, 2 Ag 2.71, 2 In 2.78
W: 0.1317 0.6250 0.2500  2 W 2.70, 2 Ag 2.71, 2 In 2.78
W: 0.8750 0.8683 0.7500  2 W 2.70, 2 Ag 2.71, 2 In 2.78